Entry 1:
A plane-wave DFT calculation with PBE was carried out for a geometry-optimized Sc2BiPb structure.

As for the density: 8.10 Mg/m³. Its calculated formation energy is -0.426 eV per atom. Its offset from the most stable computed form is 1.7 kJ per mole of atoms. As for the total energy: -0.20173 Ha/atom. The calculation puts the total moment at 0.00 μB/f.u.

The space group is Amm2 (No. 38) and the conventional cell measures 4.4345, 4.1177 and 11.3615 Å, with angles of 90.00, 90.00 and 90.00 degrees. Symmetry generates all atoms from Sc at (0.0000, 0.0000, 0.0000), Sc at (0.5000, 0.0000, 0.2361), Bi at (0.5000, 0.0000, 0.5040) and Pb at (0.0000, 0.0000, 0.7366).

Entry 2:
A plane-wave DFT calculation with PBE was carried out for a geometry-optimized YTe2NCl structure.

As for the density: 4.22 Mg/m³. Its offset from the most stable computed form is 0.0 kJ per mole of atoms. The calculation puts the uncorrected formation energy at 0.385 eV/atom. As for the total energy: -0.15432 Ha/atom. The calculation puts the total moment at 1.34 μB/f.u.

The space group is P4/mmm (No. 123) and the conventional cell measures 6.0253, 6.0253 and 4.2658 Å, with angles of 90.00, 90.00 and 90.00 degrees. Symmetry generates all atoms from Y at (0.0000, 0.0000, 0.0000), Te at (0.0000, 0.5000, 0.0000), N at (0.0000, 0.0000, 0.5000) and Cl at (0.5000, 0.5000, 0.5000).

Entry 3:
A plane-wave DFT calculation with PBE was carried out for a geometry-optimized LaSmCdSi structure.

As for the density: 6.79 Mg/m³. The calculation puts the uncorrected formation energy at -0.402 eV/atom. As for the total energy: -0.16163 Ha/atom. The calculation puts the total moment at 0.00 μB/f.u.

The space group is F-43m (No. 216) and the conventional cell measures 7.4904, 7.4904 and 7.4904 Å, with angles of 90.00, 90.00 and 90.00 degrees. Symmetry generates all atoms from La at (0.0000, 0.0000, 0.0000), Sm at (0.0000, 0.0000, 0.5000), Cd at (0.2500, 0.2500, 0.2500) and Si at (0.2500, 0.2500, 0.7500).

Entry 4:
A plane-wave DFT calculation with PBE was carried out for a geometry-optimized AgH2Pt2 structure.

As for the density: 14.83 Mg/m³. Its offset from the most stable computed form is 5.1 kJ per mole of atoms. As for the total energy: -0.15524 Ha/atom. The calculation puts the total moment at 0.00 μB/f.u.

The space group is I4/mmm (No. 139) and the conventional cell measures 3.2609, 3.2609 and 10.5343 Å, with angles of 90.00, 90.00 and 90.00 degrees. Symmetry generates all atoms from Ag at (0.0000, 0.0000, 0.0000), H at (0.0000, 0.5000, 0.2500) and Pt at (0.0000, 0.0000, 0.3445).

Entry 5:
A plane-wave DFT calculation with PBE was carried out for a geometry-optimized CaCo2Ag structure.

As for the density: 6.69 Mg/m³. Its calculated formation energy is 0.746 eV per atom. As for the total energy: -0.14773 Ha/atom. The calculation puts the total moment at 2.55 μB/f.u.

The space group is R-3m (No. 166, hexagonal axes) and the conventional cell measures 2.8941, 2.8941 and 27.3010 Å, with angles of 90.00, 90.00 and 120.00 degrees. Symmetry generates all atoms from Ca at (0.0000, 0.0000, 0.0000), Co at (0.0000, 0.0000, 0.2467) and Ag at (0.0000, 0.0000, 0.5000).

Entry 6:
A plane-wave DFT calculation with PBE was carried out for a geometry-optimized FeSnAs2Se structure.

As for the density: 6.32 Mg/m³. Its offset from the most stable computed form is 0.0 kJ per mole of atoms. The calculation puts the uncorrected formation energy at 0.236 eV/atom. As for the total energy: -0.17689 Ha/atom. The calculation puts the total moment at 0.00 μB/f.u.

The space group is P4/mmm (No. 123) and the conventional cell measures 4.4198, 4.4198 and 5.4214 Å, with angles of 90.00, 90.00 and 90.00 degrees. Symmetry generates all atoms from Fe at (0.0000, 0.0000, 0.0000), Sn at (0.5000, 0.5000, 0.5000), As at (0.0000, 0.5000, 0.0000) and Se at (0.0000, 0.0000, 0.5000).

Looking at DOS(E_F) for the records above, in order, we have 4.1; 9.3; 11.6; 2.1; 20.0; 4.4 states/eV per cell.